The following is a PBE-GGA calculation of a relaxed RbSrI3 crystal, from the Alexandria database.

Output
- M_tot: 0.0 μB per formula unit
- Uncorrected formation energy: -1629 meV per atom
- Raw total energy: -3.089 eV/atom
- Fermi-level density of states: 0.000 states/eV/atom

Unit cell a=10.4672 b=4.9071 c=18.4318 alpha=90.00 beta=90.00 gamma=90.00
Last column: nearest neighbours and their distance in Å.
Space group Pnma (No. 62)
Inequivalent atoms, fractional coordinates:
Rb: 0.1052 0.2500 0.1968 (multiplicity 4)  7 I 3.82-3.88
Sr: 0.1911 0.7500 0.4535 (multiplicity 4)  6 I 3.24-3.37
I: 0.0032 0.7500 0.6023 (multiplicity 4)  3 Sr 3.35-3.37
I: 0.1576 0.7500 0.0363 (multiplicity 4)  2 Sr 3.30
I: 0.1757 0.2500 0.7951 (multiplicity 4)  1 Sr 3.24